NaMnPCO7 GGA+U optimized geometry; magnetization = 2.99 μB/f.u.; final energy = -308.1 eV/cell; symmetry = Cm, No. 8
1.0
8.138 -0.018 0.073
-1.460 8.006 0.073
3.214 3.844 9.281
O C Mn P Na
28 4 4 4 4
direct
0.403 0.403 0.855
0.573 0.072 0.528
0.826 0.323 0.959
0.084 0.596 0.147
0.594 0.286 0.661
0.432 0.432 0.468
0.224 0.224 0.804
0.853 0.344 0.423
0.776 0.082 0.667
0.596 0.084 0.147
0.693 0.693 0.046
0.921 0.921 0.849
0.323 0.826 0.959
0.781 0.259 0.195
0.701 0.893 0.347
0.435 0.238 0.324
0.082 0.776 0.667
0.648 0.648 0.590
0.238 0.435 0.324
0.072 0.573 0.528
0.286 0.594 0.661
0.259 0.781 0.195
0.922 0.922 0.476
0.344 0.853 0.423
0.732 0.732 0.813
0.167 0.167 0.041
0.893 0.701 0.347
0.155 0.155 0.560
0.778 0.778 0.912
0.742 0.228 0.090
0.228 0.742 0.090
0.256 0.256 0.911
0.430 0.430 0.654
0.943 0.943 0.651
0.062 0.563 0.348
0.563 0.062 0.348
0.307 0.307 0.425
0.702 0.199 0.565
0.793 0.793 0.443
0.199 0.702 0.565
0.522 0.771 0.224
0.771 0.522 0.224
0.746 0.446 0.773
0.446 0.746 0.773

***

Na3MnPCO7 GGA+U optimized geometry; magnetization = 5.00 μB/f.u.; final energy = -173.3 eV/cell; symmetry = P2_1/m, No. 11
1.0
-3.904 -2.675 -4.925
-3.609 -1.299 3.566
-4.056 8.018 -1.141
O C P Mn Na
14 2 2 2 6
direct
0.250 0.710 0.918
0.250 0.959 0.122
0.933 0.786 0.320
0.750 0.828 0.568
0.250 0.172 0.432
0.250 0.531 0.145
0.750 0.408 0.431
0.750 0.041 0.878
0.567 0.786 0.320
0.750 0.469 0.855
0.067 0.214 0.680
0.750 0.290 0.082
0.250 0.592 0.569
0.433 0.214 0.680
0.250 0.734 0.061
0.750 0.266 0.939
0.750 0.705 0.412
0.250 0.295 0.588
0.250 0.778 0.361
0.750 0.222 0.639
0.503 0.248 0.261
0.497 0.752 0.739
0.997 0.248 0.261
0.003 0.752 0.739
0.750 0.760 0.083
0.250 0.240 0.917

***

NaMnPCO7 GGA+U optimized geometry; magnetization = 2.92 μB/f.u.; final energy = -154.4 eV/cell; symmetry = P-1, No. 2
1.0
-3.528 -2.610 2.692
4.255 -4.364 0.968
2.474 4.927 7.840
Na O C Mn P
2 14 2 2 2
direct
0.249 0.066 0.772
0.751 0.934 0.228
0.070 0.221 0.161
0.930 0.779 0.839
0.348 0.239 0.979
0.517 0.731 0.794
0.129 0.818 0.572
0.574 0.739 0.475
0.871 0.182 0.428
0.165 0.548 0.362
0.835 0.452 0.638
0.258 0.930 0.327
0.426 0.261 0.525
0.742 0.070 0.673
0.652 0.761 0.021
0.483 0.269 0.206
0.303 0.243 0.105
0.697 0.757 0.895
0.780 0.757 0.647
0.220 0.243 0.353
0.719 0.245 0.561
0.281 0.755 0.439

***

NaMnPCO7 GGA+U optimized geometry; magnetization = 2.97 μB/f.u.; final energy = -308.8 eV/cell; symmetry = P2_1/c, No. 14
1.0
6.239 0.000 0.000
0.000 10.676 -0.095
0.000 4.879 9.145
O C Na P Mn
28 4 4 4 4
direct
0.755 0.203 0.639
0.248 0.472 0.053
0.282 0.027 0.813
0.766 0.426 0.221
0.245 0.797 0.361
0.271 0.845 0.043
0.948 0.664 0.057
0.552 0.664 0.557
0.748 0.528 0.447
0.752 0.528 0.947
0.266 0.574 0.279
0.234 0.574 0.779
0.052 0.336 0.943
0.437 0.343 0.929
0.252 0.472 0.553
0.745 0.203 0.139
0.937 0.657 0.571
0.734 0.426 0.721
0.771 0.155 0.457
0.718 0.973 0.187
0.563 0.657 0.071
0.729 0.155 0.957
0.063 0.343 0.429
0.218 0.027 0.313
0.782 0.973 0.687
0.255 0.797 0.861
0.448 0.336 0.443
0.229 0.845 0.543
0.271 0.900 0.899
0.771 0.100 0.601
0.229 0.900 0.399
0.729 0.100 0.101
0.552 0.770 0.233
0.948 0.770 0.733
0.052 0.230 0.267
0.448 0.230 0.767
0.243 0.437 0.923
0.757 0.563 0.077
0.257 0.437 0.423
0.743 0.563 0.577
0.754 0.350 0.434
0.254 0.650 0.066
0.746 0.350 0.934
0.246 0.650 0.566

***

Na2MnCSO7 GGA+U optimized geometry; magnetization = 5.00 μB/f.u.; final energy = -156.8 eV/cell; symmetry = P2_1/m, No. 11
1.0
5.354 0.038 0.000
0.253 9.200 0.000
0.000 0.000 6.859
S O Mn Na C
2 14 2 4 2
direct
0.269 0.577 0.750
0.731 0.423 0.250
0.464 0.821 0.250
0.179 0.656 0.926
0.173 0.426 0.750
0.550 0.566 0.750
0.536 0.179 0.750
0.821 0.344 0.074
0.948 0.140 0.750
0.695 0.947 0.750
0.450 0.434 0.250
0.052 0.860 0.250
0.821 0.344 0.426
0.179 0.656 0.574
0.305 0.053 0.250
0.827 0.574 0.250
0.773 0.364 0.750
0.227 0.636 0.250
0.769 0.799 0.492
0.231 0.201 0.992
0.231 0.201 0.508
0.769 0.799 0.008
0.273 0.917 0.250
0.727 0.083 0.750

***

Na3MnSiCO7 GGA+U optimized geometry; magnetization = 4.00 μB/f.u.; final energy = -173.0 eV/cell; symmetry = P2_1/m, No. 11
1.0
5.301 0.000 0.024
0.000 6.495 0.000
-0.129 0.000 9.161
O Na Si C Mn
14 6 2 2 2
direct
0.993 0.750 0.393
0.414 0.750 0.357
0.749 0.550 0.821
0.661 0.750 0.081
0.122 0.750 0.957
0.251 0.450 0.179
0.251 0.050 0.179
0.265 0.750 0.585
0.586 0.250 0.643
0.749 0.950 0.821
0.339 0.250 0.919
0.735 0.250 0.415
0.878 0.250 0.043
0.007 0.250 0.607
0.237 0.504 0.764
0.719 0.750 0.595
0.763 0.496 0.236
0.281 0.250 0.405
0.237 0.996 0.764
0.763 0.004 0.236
0.811 0.750 0.928
0.189 0.250 0.072
0.219 0.750 0.446
0.781 0.250 0.554
0.283 0.750 0.146
0.717 0.250 0.854